Entry from Alexandria: crystalline CeSm6Ho2 at its relaxed geometry (PBE-GGA).

Values from the calculation:
Energy of formation from the pure elements = 0.239 eV/atom
V = 308.59 Å³/f.u.

abc: 6.2125 8.7038 11.7116
angles: 90.00 102.94 90.00
Element x y z (fractional)
Ce 0.0000 0.0000 0.0000
Ce 0.0000 0.5000 0.5000
Sm 0.0894 0.1350 0.3069
Sm 0.0894 0.3650 0.8069
Sm 0.2226 0.1647 0.6008
Sm 0.2226 0.3353 0.1008
Sm 0.3382 0.6795 0.0294
Sm 0.3382 0.8205 0.5294
Sm 0.6618 0.1795 0.4706
Sm 0.6618 0.3205 0.9706
Sm 0.7774 0.6647 0.8992
Sm 0.7774 0.8353 0.3992
Sm 0.9106 0.6350 0.1931
Sm 0.9106 0.8650 0.6931
Ho 0.4470 0.5196 0.3457
Ho 0.4470 0.9804 0.8457
Ho 0.5530 0.0196 0.1543
Ho 0.5530 0.4804 0.6543

***

Entry from Alexandria: crystalline Sn2GeSe4 at its relaxed geometry (PBE-GGA).

Values from the calculation:
V = 195.09 Å³/f.u.
Distance to the lowest polymorph of the same formula = 24.3 meV/atom
ΔE_f (raw) = -247 meV/atom

abc: 7.0143 6.0153 6.7586
angles: 66.32 51.75 61.93
Element x y z (fractional)
Sn 0.0000 0.0000 0.5000
Sn 0.5000 0.5000 0.0000
Ge 0.2443 0.2443 0.7557
Se 0.1701 0.6768 0.8299
Se 0.4588 0.9496 0.0504
Se 0.6768 0.1701 0.3232
Se 0.9496 0.4588 0.5412

***

Entry from Alexandria: crystalline Tm2Pt3Au2 at its relaxed geometry (PBE-GGA).

Values from the calculation:
Energy of formation from the pure elements = -0.924 eV/atom
V = 137.24 Å³/f.u.

abc: 4.3690 5.2298 7.0356
angles: 108.23 90.22 114.53
Element x y z (fractional)
Tm 0.1366 0.2713 0.2827
Tm 0.8634 0.7287 0.7173
Pt 0.1599 0.3184 0.6949
Pt 0.5000 0.0000 0.5000
Pt 0.8401 0.6816 0.3051
Au 0.3770 0.7590 0.0692
Au 0.6230 0.2410 0.9308